(1)
VASP calculation (PBE) on a relaxed structure of Dy3GaCu2.

## Properties
For the volume, the calculation gives 129.2 Å³ per cell. As for the magnetic moment: 0.00 μB per atom. The calculation puts the calculated total energy at -27.2 eV/f.u.

a = 3.4684 Å, b = 3.4684 Å, c = 10.7403 Å
α = 90.00°, β = 90.00°, γ = 90.00°
With the nearest neighbours (Å) after each atom.
Fractional positions:
1 Dy 0.0000 0.0000 0.0000  8 Cu 3.02
2 Dy 0.0000 0.0000 0.6741  4 Cu 3.01, 4 Ga 3.08
3 Cu 0.5000 0.5000 0.8365  8 Dy 3.01-3.02
4 Cu 0.5000 0.5000 0.1635  8 Dy 3.01-3.02
5 Dy 0.0000 0.0000 0.3259  4 Cu 3.01, 4 Ga 3.08
6 Ga 0.5000 0.5000 0.5000  8 Dy 3.08

(2)
VASP calculation (PBE) on a relaxed structure of ScMnGa.

## Properties
For the volume, the calculation gives 50.4 Å³ per cell. As for the magnetic moment: 0.80 μB per atom. The calculation puts the calculated total energy at -19.3 eV/f.u.

a = 3.1540 Å, b = 3.1540 Å, c = 5.5312 Å
α = 106.57°, β = 106.57°, γ = 90.00°
With the nearest neighbours (Å) after each atom.
Fractional positions:
1 Mn 0.9376 0.9376 0.8752  4 Ga 2.62, 4 Sc 2.83
2 Sc 0.6104 0.6104 0.2207  4 Mn 2.83, 5 Ga 2.96-3.12, 4 Sc 3.15
3 Ga 0.3021 0.3021 0.6041  4 Mn 2.62

(3)
VASP calculation (PBE) on a relaxed structure of DyZnPt4.

## Properties
For the volume, the calculation gives 209.4 Å³ per cell. As for the magnetic moment: 0.00 μB per atom. The calculation puts the calculated total energy at -34.5 eV/f.u.

a = 3.9113 Å, b = 6.6935 Å, c = 8.2345 Å
α = 90.00°, β = 103.74°, γ = 90.00°
With the nearest neighbours (Å) after each atom.
Fractional positions:
1 Pt 0.0732 0.7500 0.1463  1 Zn 2.59, 8 Pt 2.83-2.87, 1 Dy 2.83
2 Pt 0.6723 0.5437 0.3445  3 Zn 2.46-2.59
3 Pt 0.3277 0.0437 0.6555  3 Zn 2.46-2.59
4 Pt 0.6723 0.9563 0.3445  3 Zn 2.46-2.59
5 Zn 0.7652 0.2500 0.5305  7 Pt 2.46-2.59
6 Pt 0.9268 0.2500 0.8537  1 Zn 2.59, 8 Pt 2.83-2.87, 1 Dy 2.83
7 Pt 0.5000 0.0000 0.0000  6 Pt 2.77-2.83, 4 Dy 3.06
8 Pt 0.3277 0.4563 0.6555  3 Zn 2.46-2.59
9 Dy 0.1039 0.2500 0.2078  9 Pt 2.83-3.06
10 Zn 0.2348 0.7500 0.4695  7 Pt 2.46-2.59
11 Dy 0.8961 0.7500 0.7922  9 Pt 2.83-3.06
12 Pt 0.5000 0.5000 0.0000  6 Pt 2.77-2.83, 4 Dy 3.06

(4)
VASP calculation (PBE) on a relaxed structure of As2IrSe.

## Properties
For the volume, the calculation gives 75.1 Å³ per cell. As for the magnetic moment: 0.00 μB per atom. The uncorrected formation energy is 311.2 meV/atom.

a = 2.9198 Å, b = 2.9197 Å, c = 8.8138 Å
α = 90.00°, β = 90.00°, γ = 90.00°
With the nearest neighbours (Å) after each atom.
Fractional positions:
1 Ir 0.0000 0.0000 0.4837  4 As 2.61, 4 Se 2.79, 4 Ir 2.92
2 As 0.0000 0.0000 0.0176  8 As 2.92-3.24
3 Se 0.5000 0.5000 0.6971  4 Ir 2.79, 4 Se 2.92
4 As 0.5000 0.5000 0.3016  4 Ir 2.61, 4 As 2.92

(5)
VASP calculation (PBE) on a relaxed structure of Dy15Er4Mg.

## Properties
For the volume, the calculation gives 617.1 Å³ per cell. As for the magnetic moment: 0.00 μB per atom. The calculation puts the calculated total energy at -88.5 eV/f.u.

a = 4.9758 Å, b = 4.9758 Å, c = 24.9251 Å
α = 90.00°, β = 90.00°, γ = 90.00°
With the nearest neighbours (Å) after each atom.
Fractional positions:
1 Dy 0.5000 0.5000 0.6011  4 Er 3.52, 8 Dy 3.53-3.54
2 Er 0.0000 0.0000 0.3993  12 Dy 3.52-3.53
3 Dy 0.5000 0.0000 0.9017  8 Dy 3.49-3.52, 2 Mg 3.49, 2 Er 3.51
4 Mg 0.0000 0.0000 0.0000  12 Dy 3.49-3.52
5 Dy 0.5000 0.0000 0.7014  8 Dy 3.52-3.56, 4 Er 3.53-3.54
6 Dy 0.0000 0.5000 0.5000  8 Dy 3.52-3.54, 4 Er 3.53
7 Dy 0.0000 0.5000 0.7014  8 Dy 3.52-3.56, 4 Er 3.53-3.54
8 Dy 0.5000 0.5000 0.0000  8 Dy 3.49, 4 Mg 3.52
9 Dy 0.5000 0.0000 0.0983  8 Dy 3.49-3.52, 2 Mg 3.49, 2 Er 3.51
10 Dy 0.0000 0.5000 0.0983  8 Dy 3.49-3.52, 2 Mg 3.49, 2 Er 3.51
11 Dy 0.5000 0.5000 0.3989  4 Er 3.52, 8 Dy 3.53-3.54
12 Dy 0.5000 0.0000 0.2986  8 Dy 3.52-3.56, 4 Er 3.53-3.54
13 Dy 0.0000 0.5000 0.9017  8 Dy 3.49-3.52, 2 Mg 3.49, 2 Er 3.51
14 Dy 0.5000 0.5000 0.1965  8 Dy 3.49-3.56, 4 Er 3.52
15 Er 0.0000 0.0000 0.8022  12 Dy 3.51-3.54
16 Dy 0.5000 0.0000 0.5000  8 Dy 3.52-3.54, 4 Er 3.53
17 Er 0.0000 0.0000 0.6007  12 Dy 3.52-3.53
18 Er 0.0000 0.0000 0.1978  12 Dy 3.51-3.54
19 Dy 0.5000 0.5000 0.8035  8 Dy 3.49-3.56, 4 Er 3.52
20 Dy 0.0000 0.5000 0.2986  8 Dy 3.52-3.56, 4 Er 3.53-3.54

(6)
VASP calculation (PBE) on a relaxed structure of Dy4TeSe3.

## Properties
The energy relative to the lowest polymorph listed for this composition is 0 meV per atom. For the volume, the calculation gives 402.8 Å³ per cell. As for the magnetic moment: 0.00 μB per atom. The uncorrected formation energy is -1655.9 meV/atom.

a = 4.0947 Å, b = 4.0947 Å, c = 27.7399 Å
α = 90.00°, β = 90.00°, γ = 120.00°
With the nearest neighbours (Å) after each atom.
Fractional positions:
1 Dy 0.3333 0.6667 0.4370  6 Se 2.84-2.94
2 Se 0.6667 0.3333 0.3804  6 Dy 2.84-2.85
3 Dy 0.0000 0.0000 0.8233  3 Se 2.85, 3 Te 3.12
4 Dy 0.3333 0.6667 0.0630  6 Se 2.84-2.94
5 Dy 0.0000 0.0000 0.1767  3 Se 2.85, 3 Te 3.12
6 Se 0.0000 0.0000 0.0000  6 Dy 2.94
7 Dy 0.0000 0.0000 0.6767  3 Se 2.85, 3 Te 3.12
8 Se 0.3333 0.6667 0.8804  6 Dy 2.84-2.85
9 Se 0.6667 0.3333 0.1196  6 Dy 2.84-2.85
10 Dy 0.0000 0.0000 0.3233  3 Se 2.85, 3 Te 3.12
11 Se 0.0000 0.0000 0.5000  6 Dy 2.94
12 Dy 0.6667 0.3333 0.5630  6 Se 2.84-2.94
13 Se 0.3333 0.6667 0.6196  6 Dy 2.84-2.85
14 Dy 0.6667 0.3333 0.9370  6 Se 2.84-2.94
15 Te 0.3333 0.6667 0.2500  6 Dy 3.12
16 Te 0.6667 0.3333 0.7500  6 Dy 3.12

(7)
VASP calculation (PBE) on a relaxed structure of Ac6LaNd4.

## Properties
For the volume, the calculation gives 488.3 Å³ per cell. As for the magnetic moment: 0.00 μB per atom. The calculation puts the calculated total energy at -45.0 eV/f.u.

a = 8.6946 Å, b = 8.6946 Å, c = 8.9172 Å
α = 119.18°, β = 119.18°, γ = 90.00°
With the nearest neighbours (Å) after each atom.
Fractional positions:
1 Ac 0.4059 0.0366 0.4425  4 Nd 3.34-3.72
2 Nd 0.7724 0.0962 0.8686  2 Nd 3.29, 5 Ac 3.34-3.63
3 Ac 0.0000 0.5000 0.0000  4 Nd 3.37
4 Ac 0.0366 0.4059 0.4425  4 Nd 3.34-3.72
5 Nd 0.2276 0.2276 0.1314  2 Nd 3.29, 5 Ac 3.34-3.63
6 Ac 0.5941 0.5941 0.5575  4 Nd 3.34-3.72
7 La 0.5000 0.5000 0.0000  4 Nd 4.24, 8 Ac 4.26-4.35
8 Ac 0.9634 0.9634 0.5575  4 Nd 3.34-3.72
9 Nd 0.9038 0.9038 0.1314  2 Nd 3.29, 5 Ac 3.34-3.63
10 Ac 0.5000 0.0000 0.0000  4 Nd 3.37
11 Nd 0.0962 0.7724 0.8686  2 Nd 3.29, 5 Ac 3.34-3.63

(8)
VASP calculation (PBE) on a relaxed structure of AlSi2Pt.

## Properties
For the volume, the calculation gives 60.0 Å³ per cell. As for the magnetic moment: 0.00 μB per atom. The uncorrected formation energy is -78.6 meV/atom.

a = 4.7011 Å, b = 4.7011 Å, c = 4.7011 Å
α = 134.07°, β = 124.40°, γ = 74.90°
With the nearest neighbours (Å) after each atom.
Fractional positions:
1 Pt 0.2473 0.7473 0.5000  8 Si 2.64-2.86, 4 Al 2.66-2.84
2 Si 0.9921 0.9921 0.0000  2 Si 2.55, 2 Pt 2.64
3 Si 0.7557 0.2557 0.5000  2 Si 2.55, 2 Al 2.62
4 Al 0.5049 0.5049 0.0000  8 Si 2.62-2.88, 4 Pt 2.66-2.84

(9)
VASP calculation (PBE) on a relaxed structure of AcY4Er.

## Properties
The energy relative to the lowest polymorph listed for this composition is 0 meV per atom. For the volume, the calculation gives 210.7 Å³ per cell. As for the magnetic moment: 0.00 μB per atom.

a = 3.4989 Å, b = 5.9308 Å, c = 10.1537 Å
α = 90.00°, β = 89.91°, γ = 90.00°
With the nearest neighbours (Å) after each atom.
Fractional positions:
1 Y 0.4982 0.0013 0.1798  2 Er 3.47, 7 Y 3.50-3.66, 2 Ac 3.71
2 Y 0.9978 0.5013 0.7018  6 Y 3.50-3.66, 2 Er 3.51, 2 Ac 3.59
3 Ac 0.9973 0.0013 0.5019  2 Ac 3.50, 8 Y 3.59-3.71
4 Er 0.4973 0.5013 0.0019  8 Y 3.47-3.51, 2 Er 3.50
5 Y 0.4964 0.0013 0.8239  2 Er 3.47, 7 Y 3.50-3.66, 2 Ac 3.71
6 Y 0.9968 0.5013 0.3019  6 Y 3.50-3.66, 2 Er 3.51, 2 Ac 3.59

(10)
VASP calculation (PBE) on a relaxed structure of ZrZn2Ru.

## Properties
For the volume, the calculation gives 67.8 Å³ per cell. As for the magnetic moment: 0.00 μB per atom. The calculation puts the calculated total energy at -20.1 eV/f.u.

a = 9.0502 Å, b = 9.0502 Å, c = 9.0502 Å
α = 18.88°, β = 18.88°, γ = 18.88°
With the nearest neighbours (Å) after each atom.
Fractional positions:
1 Ru 0.7464 0.7464 0.7464  3 Zn 2.66, 3 Zr 2.80, 6 Ru 2.97
2 Zn 0.0035 0.0035 0.0035  3 Ru 2.66, 9 Zn 2.79-2.97
3 Zn 0.2541 0.2541 0.2541  9 Zn 2.79-2.97, 3 Zr 2.98
4 Zr 0.4960 0.4960 0.4960  3 Ru 2.80, 6 Zr 2.97, 3 Zn 2.98